No. 1
Below is an optimized crystal structure of TaMnBeRe2, with properties calculated at the PBE level.

a b c (Å): 4.4144 4.4933 4.4144
angles (deg): 90.00 90.00 90.00
Last column: nearest neighbours and their distance in Å.
Fractional positions:
Re1 0.0000 0.0000 0.5000  2 Mn 2.21
Re2 0.5000 0.0000 0.0000  2 Mn 2.21
Ta1 0.0000 0.5000 0.0000  2 Mn 2.25
Be1 0.5000 0.5000 0.5000  4 Ta 3.12, 8 Re 3.15
Mn1 0.0000 0.0000 0.0000  4 Re 2.21, 2 Ta 2.25

Values from the calculation:
energy of formation from the pure elements = 7.25 eV/f.u.
D(E_F) = 4.21 states/eV/cell
raw total energy = -42.4 eV for the cell shown
space group = P4/mmm
spin magnetization = 0.000 μB/cell

***

No. 2
Below is an optimized crystal structure of LiCeZn2, with properties calculated at the PBE level.

a b c (Å): 3.1429 3.1429 7.3976
angles (deg): 90.00 90.00 90.00
Last column: nearest neighbours and their distance in Å.
Fractional positions:
Ce1 0.5000 0.5000 0.5000  4 Ce 3.14, 8 Zn 3.15
Zn1 0.0000 0.0000 0.8017  4 Li 2.66, 1 Zn 2.93
Zn2 0.0000 0.0000 0.1983  4 Li 2.66, 1 Zn 2.93
Li1 0.5000 0.5000 0.0000  8 Zn 2.66

Values from the calculation:
energy of formation from the pure elements = -0.69 eV/f.u.
D(E_F) = 5.07 states/eV/cell
raw total energy = -11.1 eV for the cell shown
space group = P4/mmm
spin magnetization = 0.001 μB/cell

***

No. 3
Below is an optimized crystal structure of Ca6Bi2Te3I, with properties calculated at the PBE level.

a b c (Å): 4.3785 9.5220 10.2913
angles (deg): 103.75 102.28 90.00
Last column: nearest neighbours and their distance in Å.
Fractional positions:
Te1 0.8399 0.1640 0.6798  6 Ca 3.18-3.24
Te2 0.5000 0.5000 0.0000  6 Ca 3.12-3.28
Te3 0.1601 0.8360 0.3202  6 Ca 3.18-3.24
Bi1 0.8346 0.6703 0.6692  6 Ca 3.17-3.30
Bi2 0.1654 0.3297 0.3308  6 Ca 3.17-3.30
Ca1 0.3248 0.9158 0.6497  3 Te 3.18-3.21, 2 Bi 3.24, 1 I 3.42
Ca2 0.3316 0.4101 0.6632  3 Te 3.24-3.28, 3 Bi 3.24-3.30
Ca3 0.0030 0.2685 0.0061  3 Te 3.12-3.19, 1 Bi 3.17, 2 I 3.36
Ca4 0.9970 0.7315 0.9939  3 Te 3.12-3.19, 1 Bi 3.17, 2 I 3.36
Ca5 0.6684 0.5899 0.3368  3 Te 3.24-3.28, 3 Bi 3.24-3.30
Ca6 0.6752 0.0842 0.3503  3 Te 3.18-3.21, 2 Bi 3.24, 1 I 3.42
I1 0.5000 0.0000 0.0000  6 Ca 3.36-3.42

Values from the calculation:
E_form (uncorrected) = -1489 kJ/mol of formula units
D(E_F) = 3.79 states/eV/cell
raw total energy = -46.2 eV for the cell shown
space group = C2/m
spin magnetization = 0.000 μB/cell

***

No. 4
Below is an optimized crystal structure of ReF, with properties calculated at the PBE level.

a b c (Å): 6.8086 6.8086 6.8086
angles (deg): 90.00 90.00 90.00
Last column: nearest neighbours and their distance in Å.
Fractional positions:
Re1 0.0000 0.5000 0.2500  4 F 2.41
Re2 0.2500 0.0000 0.5000  4 F 2.41
Re3 0.5000 0.7500 0.0000  4 F 2.41
Re4 0.7500 0.0000 0.5000  4 F 2.41
Re5 0.5000 0.2500 0.0000  4 F 2.41
Re6 0.0000 0.5000 0.7500  4 F 2.41
F1 0.2500 0.5000 0.0000  4 Re 2.41
F2 0.7500 0.5000 0.0000  4 Re 2.41
F3 0.5000 0.0000 0.2500  4 Re 2.41
F4 0.0000 0.7500 0.5000  4 Re 2.41
F5 0.5000 0.0000 0.7500  4 Re 2.41
F6 0.0000 0.2500 0.5000  4 Re 2.41

Values from the calculation:
E_form (uncorrected) = 342 kJ/mol of formula units
D(E_F) = 7.47 states/eV/cell
raw total energy = -64.6 eV for the cell shown
space group = Pm-3n
spin magnetization = 29.995 μB/cell
E above lowest polymorph = 2784 meV/atom